[1]
Material: K12In
Method: DFT, PBE
State: relaxed

Values from the calculation:
theoretical density	1.2	Mg/m³
energy relative to the elements	0.03	eV per atom

a b c (Å): 11.900 11.900 11.900
angles (deg): 90.00 90.00 90.00
Space group Im-3 (No. 204)
Unique sites:
K  0.000  0.173  0.302 [24 per cell]
In  0.000  0.000  0.000 [2 per cell]

[2]
Material: Tb2AlZnPt6
Method: DFT, PBE
State: relaxed

Values from the calculation:
theoretical density	13.0	Mg/m³
energy relative to the elements	-0.43	eV per atom

a b c (Å): 6.584 6.584 9.290
angles (deg): 90.00 90.00 90.00
Space group I4/mmm (No. 139)
Unique sites:
Tb  0.000  0.500  0.250 [4 per cell]
Al  0.000  0.000  0.000 [2 per cell]
Zn  0.000  0.000  0.500 [2 per cell]
Pt  0.000  0.000  0.247 [4 per cell]
Pt  0.247  0.247  0.000 [8 per cell]

[3]
Material: AlCoCuGe
Method: DFT, PBE
State: relaxed

Values from the calculation:
theoretical density	7.2	Mg/m³
energy relative to the elements	-0.09	eV per atom

a b c (Å): 5.884 5.884 5.884
angles (deg): 90.00 90.00 90.00
Space group F-43m (No. 216)
Unique sites:
Al  0.000  0.000  0.000 [4 per cell]
Co  0.250  0.250  0.750 [4 per cell]
Cu  0.250  0.250  0.250 [4 per cell]
Ge  0.000  0.000  0.500 [4 per cell]

[4]
Material: AcPdO2
Method: DFT, PBE
State: relaxed

Values from the calculation:
theoretical density	10.1	Mg/m³
ΔE_f (raw)	-1.64	eV/atom
distance to the lowest polymorph of the same formula	0.000	eV/atom

a b c (Å): 6.213 6.213 6.213
angles (deg): 90.00 90.00 90.00
Space group Fm-3m (No. 225)
Unique sites:
Ac  0.000  0.000  0.000 [4 per cell]
Pd  0.000  0.000  0.500 [4 per cell]
O  0.250  0.250  0.250 [8 per cell]

[5]
Material: MnV2B2
Method: DFT, PBE
State: relaxed

Values from the calculation:
theoretical density	6.3	Mg/m³
energy relative to the elements	-0.70	eV per atom

a b c (Å): 5.568 5.568 3.015
angles (deg): 90.00 90.00 90.00
Space group P4/mbm (No. 127)
Unique sites:
Mn  0.000  0.000  0.000 [2 per cell]
V  0.177  0.323  0.500 [4 per cell]
B  0.115  0.615  0.000 [4 per cell]

[6]
Material: LiHo6Rh5
Method: DFT, PBE
State: relaxed

Values from the calculation:
theoretical density	10.4	Mg/m³
energy relative to the elements	-0.78	eV per atom

a b c (Å): 8.414 14.571 4.821
angles (deg): 90.00 124.90 90.00
Space group C2/m (No. 12)
Unique sites:
Li  0.000  0.000  0.000 [2 per cell]
Ho  0.241  0.500  0.241 [4 per cell]
Ho  0.246  0.330  0.746 [8 per cell]
Rh  0.000  0.163  0.500 [4 per cell]
Rh  0.000  0.333  0.000 [4 per cell]
Rh  0.000  0.500  0.500 [2 per cell]

[7]
Material: In3PH
Method: DFT, PBE
State: relaxed

Values from the calculation:
theoretical density	6.0	Mg/m³
distance to the lowest polymorph of the same formula	0.000	eV/atom

a b c (Å): 4.695 4.695 4.695
angles (deg): 90.00 90.00 90.00
Space group Pm-3m (No. 221)
Unique sites:
In  0.000  0.000  0.500 [3 per cell]
P  0.500  0.500  0.500 [1 per cell]
H  0.000  0.000  0.000 [1 per cell]

[8]
Material: YTmScTl
Method: DFT, PBE
State: relaxed

Values from the calculation:
theoretical density	7.9	Mg/m³
energy relative to the elements	-0.17	eV per atom
distance to the lowest polymorph of the same formula	0.000	eV/atom

a b c (Å): 4.696 4.754 4.759
angles (deg): 90.00 90.00 90.00
Space group Pmmm (No. 47)
Unique sites:
Y  0.000  0.000  0.000 [1 per cell]
Tm  0.000  0.500  0.500 [1 per cell]
Sc  0.500  0.500  0.000 [1 per cell]
Tl  0.500  0.000  0.500 [1 per cell]

[9]
Material: Hf4AgO2
Method: DFT, PBE
State: relaxed

Values from the calculation:
theoretical density	9.9	Mg/m³
ΔE_f (raw)	-0.31	eV/atom

a b c (Å): 4.951 4.951 11.731
angles (deg): 90.00 90.00 90.00
Space group I4/mmm (No. 139)
Unique sites:
Hf  0.000  0.000  0.244 [4 per cell]
Hf  0.000  0.500  0.000 [4 per cell]
Ag  0.000  0.000  0.000 [2 per cell]
O  0.000  0.000  0.405 [4 per cell]

[10]
Material: BaAlW2
Method: DFT, PBE
State: relaxed

Values from the calculation:
theoretical density	10.9	Mg/m³
energy relative to the elements	0.91	eV per atom

a b c (Å): 3.749 4.345 9.993
angles (deg): 90.00 90.00 90.00
Space group Cmmm (No. 65)
Unique sites:
Ba  0.000  0.000  0.000 [2 per cell]
Al  0.000  0.000  0.500 [2 per cell]
W  0.000  0.500  0.303 [4 per cell]

[11]
Material: ZnMo2As
Method: DFT, PBE
State: relaxed

Values from the calculation:
theoretical density	8.2	Mg/m³
energy relative to the elements	0.18	eV per atom
distance to the lowest polymorph of the same formula	0.151	eV/atom

a b c (Å): 3.267 4.506 9.112
angles (deg): 90.00 90.00 90.00
Space group Cmm2 (No. 35)
Unique sites:
Zn  0.000  0.000  0.000 [2 per cell]
Mo  0.000  0.000  0.533 [2 per cell]
Mo  0.000  0.500  0.768 [2 per cell]
As  0.000  0.500  0.301 [2 per cell]

[12]
Material: NaPrPAu
Method: DFT, PBE
State: relaxed

Values from the calculation:
theoretical density	7.1	Mg/m³
energy relative to the elements	-0.70	eV per atom

a b c (Å): 7.162 7.162 7.162
angles (deg): 90.00 90.00 90.00
Space group F-43m (No. 216)
Unique sites:
Na  0.000  0.000  0.000 [4 per cell]
Pr  0.000  0.000  0.500 [4 per cell]
P  0.250  0.250  0.750 [4 per cell]
Au  0.250  0.250  0.250 [4 per cell]

[13]
Material: TbTmTl3
Method: DFT, PBE
State: relaxed

Values from the calculation:
theoretical density	10.4	Mg/m³
energy relative to the elements	-0.03	eV per atom

a b c (Å): 7.3650 7.3650 6.3721
angles (deg): 90.00 90.00 120.00
Space group P6_3/mmc (No. 194)
Unique sites:
Tb  0.3333  0.6667  0.2500 [2 per cell]
Tm  0.0000  0.0000  0.0000 [2 per cell]
Tl  0.1988  0.3975  0.7500 [6 per cell]

[14]
Material: Tb7Er12Pb
Method: DFT, PBE
State: relaxed

Values from the calculation:
theoretical density	8.8	Mg/m³
energy relative to the elements	0.05	eV per atom

a b c (Å): 8.647 8.796 9.434
angles (deg): 115.07 97.14 98.30
Space group P-1 (No. 2)
Unique sites:
Tb  0.000  0.000  0.000 [1 per cell]
Tb  0.176  0.603  0.638 [2 per cell]
Tb  0.287  0.708  0.020 [2 per cell]
Tb  0.422  0.351  0.740 [2 per cell]
Er  0.035  0.304  0.817 [2 per cell]
Er  0.068  0.141  0.423 [2 per cell]
Er  0.194  0.417  0.214 [2 per cell]
Er  0.305  0.063  0.874 [2 per cell]
Er  0.312  0.880  0.463 [2 per cell]
Er  0.404  0.124  0.253 [2 per cell]
Pb  0.500  0.500  0.500 [1 per cell]

[15]
Material: K3Sm3SnO8
Method: DFT, PBE
State: relaxed

Values from the calculation:
theoretical density	5.0	Mg/m³
ΔE_f (raw)	-2.46	eV/atom

a b c (Å): 7.0122 7.0122 19.0137
angles (deg): 90.00 90.00 120.00
Space group R-3m (No. 166, hexagonal axes)
Unique sites:
K  0.0000  0.5000  0.0000 [9 per cell]
Sm  0.0000  0.5000  0.5000 [9 per cell]
Sn  0.0000  0.0000  0.5000 [3 per cell]
O  0.0000  0.0000  0.2278 [6 per cell]
O  0.0289  0.5145  0.2258 [18 per cell]

[16]
Material: KAcMnSe3
Method: DFT, PBE
State: relaxed

Values from the calculation:
theoretical density	4.5	Mg/m³
ΔE_f (raw)	-1.32	eV/atom

a b c (Å): 9.448 4.475 9.988
angles (deg): 90.00 101.78 90.00
Space group P2_1/m (No. 11)
Unique sites:
K  0.179  0.250  0.211 [2 per cell]
Ac  0.340  0.750  0.841 [2 per cell]
Mn  0.084  0.250  0.599 [2 per cell]
Se  0.110  0.250  0.850 [2 per cell]
Se  0.187  0.750  0.518 [2 per cell]
Se  0.434  0.750  0.156 [2 per cell]

[17]
Material: Co2NiTe6
Method: DFT, PBE
State: relaxed

Values from the calculation:
theoretical density	7.4	Mg/m³
ΔE_f (raw)	0.00	eV/atom
distance to the lowest polymorph of the same formula	0.208	eV/atom

a b c (Å): 5.978 5.978 11.839
angles (deg): 90.00 90.00 90.00
Space group P4_2/mnm (No. 136)
Unique sites:
Co  0.000  0.000  0.165 [4 per cell]
Ni  0.000  0.000  0.500 [2 per cell]
Te  0.195  0.195  0.000 [4 per cell]
Te  0.196  0.196  0.331 [8 per cell]

[18]
Material: SiAg5
Method: DFT, PBE
State: relaxed

Values from the calculation:
theoretical density	9.0	Mg/m³
ΔE_f (raw)	0.14	eV/atom
distance to the lowest polymorph of the same formula	0.008	eV/atom

a b c (Å): 2.883 2.883 12.650
angles (deg): 90.00 90.00 90.00
Space group P4/mmm (No. 123)
Unique sites:
Si  0.000  0.000  0.000 [1 per cell]
Ag  0.000  0.000  0.331 [2 per cell]
Ag  0.500  0.500  0.159 [2 per cell]
Ag  0.500  0.500  0.500 [1 per cell]

[19]
Material: TePd2Se
Method: DFT, PBE
State: relaxed

Values from the calculation:
theoretical density	6.9	Mg/m³
ΔE_f (raw)	-0.14	eV/atom
distance to the lowest polymorph of the same formula	0.101	eV/atom

a b c (Å): 5.917 5.917 11.555
angles (deg): 90.00 90.00 90.00
Space group I-42d (No. 122)
Unique sites:
Te  0.000  0.000  0.000 [4 per cell]
Pd  0.229  0.250  0.625 [8 per cell]
Se  0.000  0.000  0.500 [4 per cell]

[20]
Material: SmHo2Lu
Method: DFT, PBE
State: relaxed

Values from the calculation:
theoretical density	8.6	Mg/m³
energy relative to the elements	0.15	eV per atom
distance to the lowest polymorph of the same formula	0.121	eV/atom

a b c (Å): 7.971 7.971 7.971
angles (deg): 90.00 90.00 90.00
Space group Fm-3m (No. 225)
Unique sites:
Sm  0.000  0.000  0.000 [4 per cell]
Ho  0.250  0.250  0.250 [8 per cell]
Lu  0.000  0.000  0.500 [4 per cell]